No. 1
A geometry-optimized NaCa2Ho structure, computed with PBE.

Results
Excess energy over the best structure of this formula in the dataset   28 kJ/mol of formula units
Space group   P4/mmm
ΔH_f (0 K)   0.176 eV/atom
Volume   36.7 Å³/atom
Spin magnetization   0.000 Bohr magnetons per cell

Unit cell a=6.132 b=6.132 c=3.906 alpha=90.00 beta=90.00 gamma=90.00
Fractional positions:
Na1 0.000 0.000 0.000
Ca1 0.000 0.500 0.500
Ca2 0.500 0.000 0.500
Ho1 0.500 0.500 0.000

No. 2
A geometry-optimized LuGaRh2 structure, computed with PBE.

Results
Space group   P4/mmm
ΔH_f (0 K)   -0.916 eV/atom
Volume   16.1 Å³/atom
Spin magnetization   0.000 Bohr magnetons per cell

Unit cell a=4.333 b=4.333 c=3.435 alpha=90.00 beta=90.00 gamma=90.00
Fractional positions:
Lu1 0.000 0.000 0.000
Ga1 0.500 0.500 0.000
Rh1 0.000 0.500 0.500
Rh2 0.500 0.000 0.500

No. 3
A geometry-optimized LaTa3Ti structure, computed with PBE.

Results
Excess energy over the best structure of this formula in the dataset   534 kJ/mol of formula units
Space group   Pm-3m
ΔH_f (0 K)   2.164 eV/atom
Volume   23.6 Å³/atom
Spin magnetization   0.004 Bohr magnetons per cell

Unit cell a=4.903 b=4.903 c=4.903 alpha=90.00 beta=90.00 gamma=90.00
Fractional positions:
La1 0.000 0.000 0.000
Ta1 0.000 0.000 0.500
Ta2 0.000 0.500 0.000
Ta3 0.500 0.000 0.000
Ti1 0.500 0.500 0.500

No. 4
A geometry-optimized Sc2MnBi2 structure, computed with PBE.

Results
Space group   P4/mbm
ΔH_f (0 K)   -0.184 eV/atom
Volume   24.5 Å³/atom
Spin magnetization   7.752 Bohr magnetons per cell

Unit cell a=7.761 b=7.761 c=4.069 alpha=90.00 beta=90.00 gamma=90.00
Fractional positions:
Sc1 0.150 0.350 0.000
Sc2 0.350 0.850 0.000
Sc3 0.650 0.150 0.000
Sc4 0.850 0.650 0.000
Mn1 0.000 0.000 0.500
Mn2 0.500 0.500 0.500
Bi1 0.156 0.656 0.500
Bi2 0.344 0.156 0.500
Bi3 0.656 0.844 0.500
Bi4 0.844 0.344 0.500

No. 5
A geometry-optimized HoAlGa4 structure, computed with PBE.

Results
Excess energy over the best structure of this formula in the dataset   79 kJ/mol of formula units
Space group   C2/m
ΔH_f (0 K)   -0.178 eV/atom
Volume   19.8 Å³/atom
Spin magnetization   0.000 Bohr magnetons per cell

Unit cell a=5.241 b=5.241 c=5.027 alpha=100.17 beta=100.17 gamma=114.39
Fractional positions:
Ho1 0.000 0.000 0.000
Al1 0.500 0.500 0.500
Ga1 0.189 0.811 0.500
Ga2 0.345 0.655 0.000
Ga3 0.655 0.345 0.000
Ga4 0.811 0.189 0.500

No. 6
A geometry-optimized V9Ni4Ir11 structure, computed with PBE.

Results
Space group   Cmmm
ΔH_f (0 K)   -0.264 eV/atom
Volume   13.8 Å³/atom
Spin magnetization   0.145 Bohr magnetons per cell

Unit cell a=9.864 b=9.864 c=3.664 alpha=90.00 beta=90.00 gamma=112.07
Fractional positions:
V1 0.000 0.000 0.000
V2 0.124 0.631 0.000
V3 0.289 0.452 0.000
V4 0.369 0.876 0.000
V5 0.452 0.289 0.000
V6 0.548 0.711 0.000
V7 0.631 0.124 0.000
V8 0.711 0.548 0.000
V9 0.876 0.369 0.000
Ni1 0.050 0.239 0.000
Ni2 0.239 0.050 0.000
Ni3 0.761 0.950 0.000
Ni4 0.950 0.761 0.000
Ir1 0.086 0.420 0.500
Ir2 0.156 0.844 0.500
Ir3 0.249 0.249 0.500
Ir4 0.330 0.670 0.500
Ir5 0.420 0.086 0.500
Ir6 0.500 0.500 0.500
Ir7 0.580 0.914 0.500
Ir8 0.670 0.330 0.500
Ir9 0.751 0.751 0.500
Ir10 0.844 0.156 0.500
Ir11 0.914 0.580 0.500

No. 7
A geometry-optimized CoSi3Mo structure, computed with PBE.

Results
Space group   Pm-3m
Formation energy from raw total energies   1.04 eV per atom
Volume   20.6 Å³/atom
Spin magnetization   2.460 Bohr magnetons per cell

Unit cell a=4.688 b=4.688 c=4.688 alpha=90.00 beta=90.00 gamma=90.00
Fractional positions:
Co1 0.000 0.000 0.000
Si1 0.000 0.500 0.500
Si2 0.500 0.000 0.500
Si3 0.500 0.500 0.000
Mo1 0.500 0.500 0.500